(1)
LiTaSi2 | Alexandria | PBE | optimized geometry; E_form (uncorrected) = -0.065 eV per atom; space-group type = P4/mmm, No. 123
1.0
-0.4841 0.5209 3.6173
-0.7903 -3.8242 0.4449
3.8152 -0.7170 0.6138
Si Li Ta
2 1 1
Cartesian
1.5125 -2.2706 0.5294
0.0000 0.0000 0.0000
1.6656 -0.0981 2.1156
-0.6372 -1.6516 2.0311



(2)
NdBe4PtRh2 | Alexandria | PBE | optimized geometry; energy of formation = -0.55 eV per atom; space-group type = R-3m, No. 166
1.0
-1.6747 -2.5551 2.4551
-0.7587 -3.6553 -1.1933
6.7651 -4.5032 3.0562
Be Pt Rh Nd
4 1 2 1
Cartesian
0.5403 -7.1654 2.2963
3.7914 -3.5482 2.0217
0.1488 -4.7090 1.4573
4.1829 -6.0046 2.8607
2.1659 -5.3568 2.1590
2.9668 -7.9446 3.1404
1.3649 -2.7689 1.1776
0.0000 0.0000 0.0000



(3)
YIrRhC2 | Alexandria | PBE | optimized geometry; energy of formation = 2.80 eV per atom; space-group type = P4/mmm, No. 123
1.0
4.3283 0.0000 0.0000
0.0000 5.2166 0.0000
0.0000 0.0000 4.3283
C Y Ir Rh
2 1 1 1
Cartesian
2.1641 0.0000 0.0000
0.0000 0.0000 2.1641
0.0000 0.0000 0.0000
0.0000 2.6083 0.0000
2.1641 2.6083 2.1641